First-principles (PBE) data for crystalline Li7BiPd12 at its relaxed geometry, as listed in Alexandria via LeMat-Bulk.

Calculated values
**ΔE_f**: -0.2487 eV/atom

Lattice parameters (Å, degrees): 6.903 6.903 6.903 89.33 89.33 89.33
Atoms (fractional coordinates):
Pd  0.253  0.128  0.717
Pd  0.837  0.497  0.397
Pd  0.283  0.747  0.872
Pd  0.747  0.872  0.283
Pd  0.872  0.283  0.747
Bi  0.000  0.000  0.000
Li  0.831  0.596  0.969
Pd  0.163  0.503  0.603
Li  0.969  0.831  0.596
Li  0.169  0.404  0.031
Li  0.031  0.169  0.404
Pd  0.128  0.717  0.253
Pd  0.397  0.837  0.497
Li  0.596  0.969  0.831
Li  0.500  0.500  0.500
Pd  0.717  0.253  0.128
Pd  0.497  0.397  0.837
Pd  0.503  0.603  0.163
Pd  0.603  0.163  0.503
Li  0.404  0.031  0.169